1.
Below is ScIr2Cl after structural relaxation, with properties calculated at the PBE level.

Symmetry: I-4m2, No. 119
Uncorrected energy (eV/cell): -25.1
Formation energy without anion corrections (kJ per mole of atoms): 19.76

Unit cell a=4.9774 b=4.9774 c=4.9774 alpha=132.39 beta=132.39 gamma=69.62
Closest atoms and distances in Å follow each position.
Atoms (fractional coordinates):
Cl 0.7500 0.2500 0.5000  8 Ir 2.84-2.87, 4 Sc 2.87
Ir 0.0000 0.0000 0.0000  4 Sc 2.84, 4 Cl 2.87, 4 Ir 2.87
Ir 0.2500 0.7500 0.5000  4 Cl 2.84, 4 Sc 2.87, 4 Ir 2.87
Sc 0.5000 0.5000 0.0000  8 Ir 2.84-2.87, 4 Cl 2.87


2.
Below is ScIr2Cl after structural relaxation, with properties calculated at the PBE level.

Symmetry: Fm-3m, No. 225
Uncorrected energy (eV/cell): -24.5
Formation energy without anion corrections (kJ per mole of atoms): 34.72

Unit cell a=4.5499 b=4.5499 c=4.5499 alpha=60.00 beta=60.00 gamma=60.00
Closest atoms and distances in Å follow each position.
Atoms (fractional coordinates):
Sc 0.5000 0.5000 0.5000  8 Ir 2.79
Ir 0.2500 0.2500 0.2500  4 Sc 2.79, 4 Cl 2.79
Ir 0.7500 0.7500 0.7500  4 Sc 2.79, 4 Cl 2.79
Cl 0.0000 0.0000 0.0000  8 Ir 2.79


3.
Below is ScIr2Cl after structural relaxation, with properties calculated at the PBE level.

Symmetry: R-3m, No. 166
Uncorrected energy (eV/cell): -25.7
Formation energy without anion corrections (kJ per mole of atoms): 4.91

Unit cell a=8.6178 b=8.6178 c=8.6178 alpha=20.22 beta=20.22 gamma=20.22
Closest atoms and distances in Å follow each position.
Atoms (fractional coordinates):
Cl 0.7500 0.7500 0.7500  6 Ir 2.75, 6 Cl 3.03
Ir 0.9992 0.9992 0.9992  3 Sc 2.72, 3 Cl 2.75, 6 Ir 3.03
Ir 0.5008 0.5008 0.5008  3 Sc 2.72, 3 Cl 2.75, 6 Ir 3.03
Sc 0.2500 0.2500 0.2500  6 Ir 2.72, 6 Sc 3.03


4.
Below is ScIr2Cl after structural relaxation, with properties calculated at the PBE level.

Symmetry: Cm, No. 8
Uncorrected energy (eV/cell): -27.6
Formation energy without anion corrections (kJ per mole of atoms): -40.85

Unit cell a=4.6314 b=4.6314 c=7.2900 alpha=84.56 beta=84.56 gamma=38.43
Closest atoms and distances in Å follow each position.
Atoms (fractional coordinates):
Cl 0.0949 0.0949 0.3019  2 Sc 2.47
Ir 0.0768 0.0768 0.8529  3 Ir 2.45-2.54, 2 Sc 2.69
Ir 0.8083 0.8083 0.7826  3 Ir 2.45-2.54
Sc 0.5200 0.5200 0.5626  2 Cl 2.47, 2 Ir 2.69


ΔE to the lowest computed polymorph, record by record: 2.51, 3.13, 1.90, 0.00 eV per formula unit